An optimized crystal structure of Ni6GePt. Source: Alexandria, functional PBE-GGA.

```
8
Lattice="5.1095 0.0000 0.0000 -2.5547 4.4249 0.0000 0.0000 0.0000 4.1998" Properties=species:S:1:pos:R:3 pbc="T T T"
Ni -1.2546 2.2256 0.0000
Ni 0.0000 1.4899 2.0999
Ni -1.2645 3.6800 2.0999
Ni 1.2546 2.2256 0.0000
Ni 0.0000 4.3987 0.0000
Ni 1.2645 3.6800 2.0999
Ge 0.0000 0.0000 0.0000
Pt 2.5547 1.4750 2.0999
```

Properties
Fermi-level density of states: 12.55 states/eV/cell
Energy relative to the elements: -0.139 eV/atom
E above lowest polymorph: 17 meV/atom
Magnetic moment: 0.282 μB per atom